Entry from Alexandria: a geometry-optimized K2TbZnTe4 structure (PBE).

Output
**Formation energy from raw total energies**: -6.7 eV per formula unit

Unit cell a=7.1010 b=7.1010 c=7.1010 alpha=106.78 beta=106.78 gamma=114.99
Sites, in units of the cell vectors:
K: 0.0000 0.5000 0.5000
K: 0.5000 0.0000 0.5000
Tb: 0.0000 0.0000 0.0000
Zn: 0.5000 0.5000 0.0000
Te: 0.1015 0.1015 0.6462
Te: 0.4552 0.4552 0.3538
Te: 0.5448 0.8985 0.0000
Te: 0.8985 0.5448 0.0000